1.
VASP calculation (PBE) on crystalline HoGa4Au12 at its relaxed geometry.

Summary:
DFT formation energy: -1.0 eV per formula unit

```
data_HoGa4Au12
_chemical_formula_sum 'Ho2 Ga8 Au24'
_space_group_name_H-M_alt 'I m -3'
_space_group_IT_number 204
_space_group_name_Hall '-I 2 2 3'
_cell_length_a 8.9716
_cell_length_b 8.9716
_cell_length_c 8.9716
_cell_angle_alpha 90.00
_cell_angle_beta 90.00
_cell_angle_gamma 90.00
loop_
_atom_site_label
_atom_site_fract_x
_atom_site_fract_y
_atom_site_fract_z
_atom_site_occupancy
Ho1 0.0000 0.0000 0.0000 1
Ga1 0.2500 0.2500 0.2500 1
Au1 0.0000 0.1534 0.3416 1
```

***

2.
VASP calculation (PBE) on crystalline Ho2GaAu3 at its relaxed geometry.

Summary:
DFT formation energy: -4.7 eV per formula unit
relative energy among the computed polymorphs: 0.0 meV per atom

```
data_Ho2GaAu3
_chemical_formula_sum 'Ho2 Ga1 Au3'
_space_group_name_H-M_alt 'P m m 2'
_space_group_IT_number 25
_cell_length_a 3.4033
_cell_length_b 4.5957
_cell_length_c 8.1255
_cell_angle_alpha 90.00
_cell_angle_beta 90.00
_cell_angle_gamma 90.00
loop_
_space_group_symop_operation_xyz
'x,y,z'
'-x,-y,z'
'-x,y,z'
'x,-y,z'
loop_
_atom_site_label
_atom_site_fract_x
_atom_site_fract_y
_atom_site_fract_z
_atom_site_occupancy
Ho1 0.0000 0.0000 0.0000 1
Ho2 0.0000 0.5000 0.4766 1
Ga1 0.5000 0.5000 0.8147 1
Au1 0.5000 0.0000 0.3286 1
Au2 0.5000 0.0000 0.6700 1
Au3 0.5000 0.5000 0.1354 1
```

***

3.
VASP calculation (PBE) on crystalline HoGaAu at its relaxed geometry.

Summary:
DFT formation energy: -2.4 eV per formula unit

```
data_HoGaAu
_chemical_formula_sum 'Ho4 Ga4 Au4'
_space_group_name_H-M_alt 'C 1 2/m 1'
_space_group_IT_number 12
_cell_length_a 10.4793
_cell_length_b 4.4797
_cell_length_c 7.1185
_cell_angle_alpha 90.00
_cell_angle_beta 131.66
_cell_angle_gamma 90.00
loop_
_space_group_symop_operation_xyz
'x,y,z'
'-x,-y,-z'
'-x,y,-z'
'x,-y,z'
'x+1/2,y+1/2,z'
'-x+1/2,-y+1/2,-z'
'-x+1/2,y+1/2,-z'
'x+1/2,-y+1/2,z'
loop_
_atom_site_label
_atom_site_fract_x
_atom_site_fract_y
_atom_site_fract_z
_atom_site_occupancy
Ho1 0.0391 0.0000 0.2989 1
Ga1 0.1574 0.5000 0.1025 1
Au1 0.1766 0.5000 0.7148 1
```

***

4.
VASP calculation (PBE) on crystalline Ho2Ga2Au3 at its relaxed geometry.

Summary:
DFT formation energy: -4.7 eV per formula unit
relative energy among the computed polymorphs: 21.9 meV per atom

```
data_Ho2Ga2Au3
_chemical_formula_sum 'Ho8 Ga8 Au12'
_space_group_name_H-M_alt 'C m c m'
_space_group_IT_number 63
_space_group_name_Hall '-C 2c 2'
_cell_length_a 4.1287
_cell_length_b 19.7698
_cell_length_c 7.2444
_cell_angle_alpha 90.00
_cell_angle_beta 90.00
_cell_angle_gamma 90.00
loop_
_atom_site_label
_atom_site_fract_x
_atom_site_fract_y
_atom_site_fract_z
_atom_site_occupancy
Ho1 0.0000 0.0549 0.2500 1
Ho2 0.0000 0.1545 0.7500 1
Ga1 0.0000 0.3096 0.5518 1
Au1 0.0000 0.2248 0.2500 1
Au2 0.0000 0.4351 0.0548 1
```

***

5.
VASP calculation (PBE) on crystalline Ho2Ga4Au3 at its relaxed geometry.

Summary:
DFT formation energy: -5.1 eV per formula unit

```
data_Ho2Ga4Au3
_chemical_formula_sum 'Ho8 Ga16 Au12'
_space_group_name_H-M_alt 'C m c e'
_space_group_IT_number 64
_space_group_name_Hall '-C 2ac 2'
_cell_length_a 5.9084
_cell_length_b 15.4061
_cell_length_c 7.7260
_cell_angle_alpha 90.00
_cell_angle_beta 90.00
_cell_angle_gamma 90.00
loop_
_atom_site_label
_atom_site_fract_x
_atom_site_fract_y
_atom_site_fract_z
_atom_site_occupancy
Ho1 0.0000 0.1066 0.0910 1
Ga1 0.0000 0.1748 0.4773 1
Ga2 0.2500 0.0623 0.7500 1
Au1 0.0000 0.0000 0.5000 1
Au2 0.2500 0.2337 0.7500 1
```

***

6.
VASP calculation (PBE) on crystalline HoGaAu at its relaxed geometry.

Summary:
DFT formation energy: -1.9 eV per formula unit

```
data_HoGaAu
_chemical_formula_sum 'Ho4 Ga4 Au4'
_space_group_name_H-M_alt 'F -4 3 m'
_space_group_IT_number 216
_space_group_name_Hall 'F -4 2 3'
_cell_length_a 6.5696
_cell_length_b 6.5696
_cell_length_c 6.5696
_cell_angle_alpha 90.00
_cell_angle_beta 90.00
_cell_angle_gamma 90.00
loop_
_atom_site_label
_atom_site_fract_x
_atom_site_fract_y
_atom_site_fract_z
_atom_site_occupancy
Ho1 0.0000 0.0000 0.0000 1
Ga1 0.0000 0.0000 0.5000 1
Au1 0.2500 0.2500 0.7500 1
```

***

7.
VASP calculation (PBE) on crystalline Ho5Ga2Au at its relaxed geometry.

Summary:
DFT formation energy: -4.4 eV per formula unit

```
data_Ho5Ga2Au
_chemical_formula_sum 'Ho20 Ga8 Au4'
_space_group_name_H-M_alt 'I 4/m c m'
_space_group_IT_number 140
_space_group_name_Hall '-I 4 2c'
_cell_length_a 7.4335
_cell_length_b 7.4335
_cell_length_c 14.6629
_cell_angle_alpha 90.00
_cell_angle_beta 90.00
_cell_angle_gamma 90.00
loop_
_atom_site_label
_atom_site_fract_x
_atom_site_fract_y
_atom_site_fract_z
_atom_site_occupancy
Ho1 0.0000 0.0000 0.0000 1
Ho2 0.1709 0.3291 0.1476 1
Ga1 0.1217 0.3783 0.5000 1
Au1 0.0000 0.0000 0.2500 1
```

***

8.
VASP calculation (PBE) on crystalline Ho3Ga3Au at its relaxed geometry.

Summary:
DFT formation energy: -4.9 eV per formula unit

```
data_Ho3Ga3Au
_chemical_formula_sum 'Ho12 Ga12 Au4'
_space_group_name_H-M_alt 'C 1 2/m 1'
_space_group_IT_number 12
_cell_length_a 10.6845
_cell_length_b 4.3893
_cell_length_c 14.2369
_cell_angle_alpha 90.00
_cell_angle_beta 109.82
_cell_angle_gamma 90.00
loop_
_space_group_symop_operation_xyz
'x,y,z'
'-x,-y,-z'
'-x,y,-z'
'x,-y,z'
'x+1/2,y+1/2,z'
'-x+1/2,-y+1/2,-z'
'-x+1/2,y+1/2,-z'
'x+1/2,-y+1/2,z'
loop_
_atom_site_label
_atom_site_fract_x
_atom_site_fract_y
_atom_site_fract_z
_atom_site_occupancy
Ho1 0.0353 0.0000 0.3798 1
Ho2 0.1054 0.0000 0.9251 1
Ho3 0.2369 0.0000 0.2258 1
Ga1 0.0217 0.5000 0.2258 1
Ga2 0.1103 0.5000 0.0749 1
Ga3 0.1285 0.5000 0.5402 1
Au1 0.2468 0.5000 0.3861 1
```

***

9.
VASP calculation (PBE) on crystalline Ho2Ga2Au at its relaxed geometry.

Summary:
DFT formation energy: -3.7 eV per formula unit

```
data_Ho2Ga2Au
_chemical_formula_sum 'Ho8 Ga8 Au4'
_space_group_name_H-M_alt 'C 1 2/m 1'
_space_group_IT_number 12
_cell_length_a 10.6378
_cell_length_b 4.4141
_cell_length_c 10.5126
_cell_angle_alpha 90.00
_cell_angle_beta 117.36
_cell_angle_gamma 90.00
loop_
_space_group_symop_operation_xyz
'x,y,z'
'-x,-y,-z'
'-x,y,-z'
'x,-y,z'
'x+1/2,y+1/2,z'
'-x+1/2,-y+1/2,-z'
'-x+1/2,y+1/2,-z'
'x+1/2,-y+1/2,z'
loop_
_atom_site_label
_atom_site_fract_x
_atom_site_fract_y
_atom_site_fract_z
_atom_site_occupancy
Ho1 0.0121 0.0000 0.3278 1
Ho2 0.1843 0.0000 0.1081 1
Ga1 0.0305 0.5000 0.8921 1
Ga2 0.1364 0.5000 0.5576 1
Au1 0.2252 0.5000 0.3375 1
```

***

10.
VASP calculation (PBE) on crystalline Ho2GaAu at its relaxed geometry.

Summary:
DFT formation energy: -2.9 eV per formula unit

```
data_Ho2GaAu
_chemical_formula_sum 'Ho4 Ga2 Au2'
_space_group_name_H-M_alt 'P m m a'
_space_group_IT_number 51
_cell_length_a 5.0341
_cell_length_b 3.5799
_cell_length_c 10.1247
_cell_angle_alpha 90.00
_cell_angle_beta 90.00
_cell_angle_gamma 90.00
loop_
_space_group_symop_operation_xyz
'x,y,z'
'-x,-y,-z'
'-x+1/2,-y,z'
'x+1/2,y,-z'
'x+1/2,-y,-z'
'-x+1/2,y,z'
'-x,y,-z'
'x,-y,z'
loop_
_atom_site_label
_atom_site_fract_x
_atom_site_fract_y
_atom_site_fract_z
_atom_site_occupancy
Ho1 0.2500 0.0000 0.1181 1
Ho2 0.2500 0.0000 0.6202 1
Ga1 0.2500 0.5000 0.8669 1
Au1 0.2500 0.5000 0.3570 1
```

***

11.
VASP calculation (PBE) on crystalline Ho2GaAu at its relaxed geometry.

Summary:
DFT formation energy: -2.9 eV per formula unit

```
data_Ho2GaAu
_chemical_formula_sum 'Ho2 Ga1 Au1'
_space_group_name_H-M_alt 'P 4/m m m'
_space_group_IT_number 123
_space_group_name_Hall '-P 4 2'
_cell_length_a 3.5307
_cell_length_b 3.5307
_cell_length_c 7.3506
_cell_angle_alpha 90.00
_cell_angle_beta 90.00
_cell_angle_gamma 90.00
loop_
_atom_site_label
_atom_site_fract_x
_atom_site_fract_y
_atom_site_fract_z
_atom_site_occupancy
Ho1 0.0000 0.0000 0.2477 1
Ga1 0.5000 0.5000 0.5000 1
Au1 0.5000 0.5000 0.0000 1
```

***

12.
VASP calculation (PBE) on crystalline Ho2GaAu at its relaxed geometry.

Summary:
DFT formation energy: -2.9 eV per formula unit

```
data_Ho2GaAu
_chemical_formula_sum 'Ho4 Ga2 Au2'
_space_group_name_H-M_alt 'P 1 21/m 1'
_space_group_IT_number 11
_cell_length_a 5.8779
_cell_length_b 4.4488
_cell_length_c 7.7356
_cell_angle_alpha 90.00
_cell_angle_beta 109.79
_cell_angle_gamma 90.00
loop_
_space_group_symop_operation_xyz
'x,y,z'
'-x,-y,-z'
'-x,y+1/2,-z'
'x,-y+1/2,z'
loop_
_atom_site_label
_atom_site_fract_x
_atom_site_fract_y
_atom_site_fract_z
_atom_site_occupancy
Ho1 0.2117 0.2500 0.4335 1
Ho2 0.2208 0.2500 0.9202 1
Ga1 0.3245 0.7500 0.2068 1
Au1 0.3464 0.7500 0.7079 1
```

***

13.
VASP calculation (PBE) on crystalline Ho2GaAu3 at its relaxed geometry.

Summary:
DFT formation energy: -4.1 eV per formula unit
relative energy among the computed polymorphs: 109.3 meV per atom

```
data_Ho2GaAu3
_chemical_formula_sum 'Ho4 Ga2 Au6'
_space_group_name_H-M_alt 'I m m 2'
_space_group_IT_number 44
_cell_length_a 3.7253
_cell_length_b 4.1210
_cell_length_c 17.5930
_cell_angle_alpha 90.00
_cell_angle_beta 90.00
_cell_angle_gamma 90.00
loop_
_space_group_symop_operation_xyz
'x,y,z'
'-x,-y,z'
'-x,y,z'
'x,-y,z'
'x+1/2,y+1/2,z+1/2'
'-x+1/2,-y+1/2,z+1/2'
'-x+1/2,y+1/2,z+1/2'
'x+1/2,-y+1/2,z+1/2'
loop_
_atom_site_label
_atom_site_fract_x
_atom_site_fract_y
_atom_site_fract_z
_atom_site_occupancy
Ho1 0.0000 0.0000 0.0000 1
Ho2 0.0000 0.5000 0.2454 1
Ga1 0.0000 0.0000 0.5826 1
Au1 0.0000 0.0000 0.4344 1
Au2 0.0000 0.5000 0.6635 1
Au3 0.0000 0.5000 0.8199 1
```

***

14.
VASP calculation (PBE) on crystalline HoGa4Au at its relaxed geometry.

Summary:
DFT formation energy: -2.3 eV per formula unit

```
data_HoGa4Au
_chemical_formula_sum 'Ho2 Ga8 Au2'
_space_group_name_H-M_alt 'C 1 2/m 1'
_space_group_IT_number 12
_cell_length_a 11.0068
_cell_length_b 4.1923
_cell_length_c 6.0638
_cell_angle_alpha 90.00
_cell_angle_beta 122.55
_cell_angle_gamma 90.00
loop_
_space_group_symop_operation_xyz
'x,y,z'
'-x,-y,-z'
'-x,y,-z'
'x,-y,z'
'x+1/2,y+1/2,z'
'-x+1/2,-y+1/2,-z'
'-x+1/2,y+1/2,-z'
'x+1/2,-y+1/2,z'
loop_
_atom_site_label
_atom_site_fract_x
_atom_site_fract_y
_atom_site_fract_z
_atom_site_occupancy
Ho1 0.0000 0.0000 0.0000 1
Ga1 0.1516 0.5000 0.8226 1
Ga2 0.2231 0.5000 0.3448 1
Au1 0.0000 0.0000 0.5000 1
```

***

15.
VASP calculation (PBE) on crystalline Ho2Ga5Au3 at its relaxed geometry.

Summary:
DFT formation energy: -5.6 eV per formula unit
relative energy among the computed polymorphs: 28.7 meV per atom

```
data_Ho2Ga5Au3
_chemical_formula_sum 'Ho8 Ga20 Au12'
_space_group_name_H-M_alt 'I b a m'
_space_group_IT_number 72
_space_group_name_Hall '-I 2 2c'
_cell_length_a 11.0723
_cell_length_b 11.8544
_cell_length_c 6.0226
_cell_angle_alpha 90.00
_cell_angle_beta 90.00
_cell_angle_gamma 90.00
loop_
_atom_site_label
_atom_site_fract_x
_atom_site_fract_y
_atom_site_fract_z
_atom_site_occupancy
Ho1 0.2473 0.1237 0.0000 1
Ga1 0.0000 0.0000 0.2500 1
Ga2 0.0000 0.2562 0.2500 1
Ga3 0.1415 0.3782 0.0000 1
Au1 0.0000 0.5000 0.2500 1
Au2 0.1357 0.1296 0.5000 1
```

***

16.
VASP calculation (PBE) on crystalline Ho2GaAu6 at its relaxed geometry.

Summary:
DFT formation energy: -5.4 eV per formula unit

```
data_Ho2GaAu6
_chemical_formula_sum 'Ho4 Ga2 Au12'
_space_group_name_H-M_alt 'C 1 2/m 1'
_space_group_IT_number 12
_cell_length_a 11.0052
_cell_length_b 6.3388
_cell_length_c 5.3043
_cell_angle_alpha 90.00
_cell_angle_beta 90.10
_cell_angle_gamma 90.00
loop_
_space_group_symop_operation_xyz
'x,y,z'
'-x,-y,-z'
'-x,y,-z'
'x,-y,z'
'x+1/2,y+1/2,z'
'-x+1/2,-y+1/2,-z'
'-x+1/2,y+1/2,-z'
'x+1/2,-y+1/2,z'
loop_
_atom_site_label
_atom_site_fract_x
_atom_site_fract_y
_atom_site_fract_z
_atom_site_occupancy
Ho1 0.1664 0.0000 0.1827 1
Ga1 0.0000 0.5000 0.0000 1
Au1 0.0917 0.2254 0.6954 1
Au2 0.1835 0.5000 0.3040 1
```

***

17.
VASP calculation (PBE) on crystalline HoGa6Au12 at its relaxed geometry.

Summary:
DFT formation energy: -3.6 eV per formula unit

```
data_HoGa6Au12
_chemical_formula_sum 'Ho3 Ga18 Au36'
_space_group_name_H-M_alt 'R -3 m'
_space_group_IT_number 166
_space_group_name_Hall '-R 3 2"'
_cell_length_a 12.1509
_cell_length_b 12.1509
_cell_length_c 8.6825
_cell_angle_alpha 90.00
_cell_angle_beta 90.00
_cell_angle_gamma 120.00
loop_
_atom_site_label
_atom_site_fract_x
_atom_site_fract_y
_atom_site_fract_z
_atom_site_occupancy
Ho1 0.0000 0.0000 0.0000 1
Ga1 0.0607 0.5304 0.2455 1
Au1 0.0000 0.3808 0.5000 1
Au2 0.0807 0.1615 0.2837 1
```

***

18.
VASP calculation (PBE) on crystalline La2HoGa3Au4 at its relaxed geometry.

Summary:
DFT formation energy: -7.0 eV per formula unit

```
data_La2HoGa3Au4
_chemical_formula_sum 'La2 Ho1 Ga3 Au4'
_space_group_name_H-M_alt 'P -4 m 2'
_space_group_IT_number 115
_cell_length_a 4.4530
_cell_length_b 4.4530
_cell_length_c 11.5698
_cell_angle_alpha 90.00
_cell_angle_beta 90.00
_cell_angle_gamma 90.00
loop_
_space_group_symop_operation_xyz
'x,y,z'
'y,-x,-z'
'-x,-y,z'
'-y,x,-z'
'-x,y,z'
'-y,-x,-z'
'x,-y,z'
'y,x,-z'
loop_
_atom_site_label
_atom_site_fract_x
_atom_site_fract_y
_atom_site_fract_z
_atom_site_occupancy
La1 0.0000 0.5000 0.2206 1
Ho1 0.0000 0.0000 0.5000 1
Ga1 0.0000 0.5000 0.8758 1
Ga2 0.5000 0.5000 0.5000 1
Au1 0.0000 0.0000 0.0000 1
Au2 0.0000 0.5000 0.6549 1
Au3 0.5000 0.5000 0.0000 1
```

***

19.
VASP calculation (PBE) on crystalline LaHoGa2Au2 at its relaxed geometry.

Summary:
DFT formation energy: -4.8 eV per formula unit

```
data_LaHoGa2Au2
_chemical_formula_sum 'La1 Ho1 Ga2 Au2'
_space_group_name_H-M_alt 'P -3 m 1'
_space_group_IT_number 164
_space_group_name_Hall '-P 3 2"'
_cell_length_a 4.5760
_cell_length_b 4.5760
_cell_length_c 7.4389
_cell_angle_alpha 90.00
_cell_angle_beta 90.00
_cell_angle_gamma 120.00
loop_
_atom_site_label
_atom_site_fract_x
_atom_site_fract_y
_atom_site_fract_z
_atom_site_occupancy
La1 0.0000 0.0000 0.0000 1
Ho1 0.0000 0.0000 0.5000 1
Ga1 0.3333 0.6667 0.7230 1
Au1 0.3333 0.6667 0.2824 1
```

***

20.
VASP calculation (PBE) on crystalline LaHoGa2Au5 at its relaxed geometry.

Summary:
DFT formation energy: -4.7 eV per formula unit

```
data_LaHoGa2Au5
_chemical_formula_sum 'La1 Ho1 Ga2 Au5'
_space_group_name_H-M_alt 'P 4/m m m'
_space_group_IT_number 123
_space_group_name_Hall '-P 4 2'
_cell_length_a 4.7912
_cell_length_b 4.7912
_cell_length_c 8.4620
_cell_angle_alpha 90.00
_cell_angle_beta 90.00
_cell_angle_gamma 90.00
loop_
_atom_site_label
_atom_site_fract_x
_atom_site_fract_y
_atom_site_fract_z
_atom_site_occupancy
La1 0.0000 0.0000 0.0000 1
Ho1 0.0000 0.0000 0.5000 1
Ga1 0.5000 0.5000 0.3531 1
Au1 0.0000 0.5000 0.2468 1
Au2 0.5000 0.5000 0.0000 1
```